Sr2GdIrO6 | OQMD | PBE | relaxed; calculated total energy = -6.99 eV/atom
1.0
-2.890 2.890 4.187
2.890 -2.890 4.187
2.890 2.890 -4.187
Sr Gd Ir O
2 1 1 6
Cartesian
2.890 0.000 2.093
0.000 2.890 2.093
0.000 0.000 0.000
0.000 0.000 4.187
1.885 1.196 0.000
0.000 0.000 2.212
1.694 -1.005 4.187
1.196 3.895 0.000
0.000 0.000 6.162
1.005 1.694 4.187

Gd2P2IrOsS2 | OQMD | PBE | relaxed; calculated total energy = -7.11 eV/atom
1.0
4.147 0.000 0.000
0.000 4.147 0.000
0.000 0.000 8.741
Gd P Ir Os S
2 2 1 1 2
Cartesian
0.000 2.074 1.728
2.074 0.000 7.013
0.000 2.074 5.587
2.074 0.000 3.154
2.074 2.074 4.370
0.000 0.000 4.370
0.000 0.000 0.000
2.074 2.074 0.000

GdSi2IrOs | OQMD | PBE | relaxed; calculated total energy = -8.05 eV/atom
1.0
-2.075 2.075 4.904
2.075 -2.075 4.904
2.075 2.075 -4.904
Gd Si Ir Os
1 2 1 1
Cartesian
0.000 0.000 0.000
0.000 0.000 3.666
0.000 0.000 6.142
0.000 2.075 2.452
2.075 0.000 2.452

TbGdP2Ir2S2 | OQMD | PBE | relaxed; calculated total energy = -6.82 eV/atom
1.0
4.269 0.000 0.000
0.000 4.269 0.000
0.000 0.000 8.484
Tb Gd P Ir S
1 1 2 2 2
Cartesian
0.000 0.000 0.000
2.134 2.134 5.305
0.000 0.000 3.803
2.134 2.134 1.496
0.000 2.134 2.649
2.134 0.000 2.649
0.000 2.134 6.906
2.134 0.000 6.906

Gd2IrPb | OQMD | PBE | relaxed; calculated total energy = -6.12 eV/atom
1.0
3.483 0.000 0.000
0.000 3.483 0.000
0.000 0.000 8.259
Gd Ir Pb
2 1 1
Cartesian
0.000 0.000 1.687
0.000 0.000 6.572
1.741 1.741 0.000
1.741 1.741 4.130

PrGd2Ir2PdPb3 | OQMD | PBE | relaxed; calculated total energy = -5.95 eV/atom
1.0
3.937 0.000 0.000
0.000 6.814 3.917
0.000 -6.814 3.917
Pr Gd Ir Pd Pb
1 2 2 1 3
Cartesian
0.000 0.000 0.000
0.000 -2.799 4.812
0.000 2.799 4.812
1.969 -4.497 3.197
1.969 4.497 3.197
0.000 0.000 3.241
1.969 -1.809 2.179
1.969 1.809 2.179
1.969 0.000 5.273

PrGd2Sn3IrPd2 | OQMD | PBE | relaxed; calculated total energy = -5.93 eV/atom
1.0
4.079 0.000 0.000
0.000 6.564 3.791
0.000 -6.564 3.791
Pr Gd Sn Ir Pd
1 2 3 1 2
Cartesian
0.000 0.000 0.000
0.000 -2.660 2.954
0.000 2.660 2.954
2.040 0.000 2.576
2.040 -1.665 5.430
2.040 1.665 5.430
0.000 0.000 4.451
2.040 -4.334 4.493
2.040 4.334 4.493

PrGd2Sn3Ir2Pd | OQMD | PBE | relaxed; calculated total energy = -6.28 eV/atom
1.0
4.070 0.000 0.000
0.000 6.546 3.760
0.000 -6.546 3.760
Pr Gd Sn Ir Pd
1 2 3 2 1
Cartesian
0.000 0.000 0.000
0.000 -2.700 2.866
0.000 2.700 2.866
2.035 0.000 2.479
2.035 -1.699 5.374
2.035 1.699 5.374
2.035 -4.320 4.420
2.035 4.320 4.420
0.000 0.000 4.380

GdSi2IrPd | OQMD | PBE | relaxed; calculated total energy = -6.87 eV/atom
1.0
-2.050 2.050 5.038
2.050 -2.050 5.038
2.050 2.050 -5.038
Gd Si Ir Pd
1 2 1 1
Cartesian
0.000 0.000 0.000
0.000 0.000 3.854
0.000 0.000 6.221
0.000 2.050 2.519
2.050 0.000 2.519

Gd2Si4IrPd | OQMD | PBE | relaxed; calculated total energy = -6.52 eV/atom
1.0
4.216 0.000 0.000
0.000 2.081 8.350
0.000 -2.081 8.350
Gd Si Ir Pd
2 4 1 1
Cartesian
0.000 0.000 0.000
2.108 0.000 3.482
0.000 0.000 5.954
0.000 0.000 10.637
2.108 0.000 9.457
2.108 0.000 14.267
2.108 0.000 7.107
0.000 0.000 13.011

Gd2Sn2Ir3Pd | OQMD | PBE | relaxed; calculated total energy = -6.77 eV/atom
1.0
4.535 0.000 0.000
-2.267 3.927 0.000
0.000 0.000 9.096
Gd Sn Ir Pd
2 2 3 1
Cartesian
0.000 0.000 0.000
0.000 2.618 4.443
2.267 1.309 2.173
2.267 1.309 6.675
0.000 0.000 3.097
0.000 0.000 5.908
0.000 2.618 1.394
0.000 2.618 7.587

Gd3Sn3Ir2Pd | OQMD | PBE | relaxed; calculated total energy = -6.29 eV/atom
1.0
7.530 0.000 0.000
-3.765 6.521 0.000
0.000 0.000 3.992
Gd Sn Ir Pd
3 3 2 1
Cartesian
-1.550 2.685 0.000
3.101 0.000 0.000
2.214 3.836 0.000
-2.782 4.819 1.996
0.983 1.702 1.996
5.564 0.000 1.996
0.000 4.347 1.996
3.765 2.174 1.996
0.000 0.000 0.000

GdTm2Sn3IrPd2 | OQMD | PBE | relaxed; calculated total energy = -5.89 eV/atom
1.0
3.847 0.000 0.000
0.000 6.604 3.804
0.000 -6.604 3.804
Gd Tm Sn Ir Pd
1 2 3 1 2
Cartesian
0.000 0.000 0.000
0.000 -2.632 3.048
0.000 2.632 3.048
1.923 0.000 2.573
1.923 -1.728 5.550
1.923 1.728 5.550
0.000 0.000 4.538
1.923 -4.367 4.571
1.923 4.367 4.571

GdY2Sn3Ir2Pd | OQMD | PBE | relaxed; calculated total energy = -6.69 eV/atom
1.0
3.940 0.000 0.000
0.000 6.548 3.781
0.000 -6.548 3.781
Gd Y Sn Ir Pd
1 2 3 2 1
Cartesian
0.000 0.000 0.000
0.000 -2.683 4.653
0.000 2.683 4.653
1.970 -1.732 2.112
1.970 1.732 2.112
1.970 0.000 5.092
1.970 -4.367 3.109
1.970 4.367 3.109
0.000 0.000 3.108

Gd2YSn3Ir2Pd | OQMD | PBE | relaxed; calculated total energy = -6.49 eV/atom
1.0
3.962 0.000 0.000
0.000 6.547 3.779
0.000 -6.547 3.779
Gd Y Sn Ir Pd
2 1 3 2 1
Cartesian
0.000 -3.859 3.779
0.000 3.859 3.779
0.000 0.000 4.650
1.981 -1.710 2.547
1.981 1.710 2.547
1.981 0.000 7.123
1.981 -2.184 5.335
1.981 2.184 5.335
0.000 0.000 1.556

Gd3Zn3IrPd2 | OQMD | PBE | relaxed; formation enthalpy at 0 K = -0.712 eV/atom; calculated total energy = -4.82 eV/atom
1.0
7.219 0.000 0.000
-3.609 6.252 0.000
0.000 0.000 3.986
Gd Zn Ir Pd
3 3 1 2
Cartesian
-1.446 2.504 0.000
2.892 0.000 0.000
2.164 3.747 0.000
-2.734 4.735 1.993
0.876 1.517 1.993
5.467 0.000 1.993
0.000 0.000 0.000
0.000 4.168 1.993
3.609 2.084 1.993

Gd3Zn3Ir2Pd | OQMD | PBE | relaxed; formation enthalpy at 0 K = -0.714 eV/atom; calculated total energy = -5.23 eV/atom
1.0
7.209 0.000 0.000
-3.605 6.243 0.000
0.000 0.000 3.935
Gd Zn Ir Pd
3 3 2 1
Cartesian
-1.486 2.574 0.000
2.972 0.000 0.000
2.118 3.669 0.000
-2.703 4.681 1.968
0.902 1.563 1.968
5.405 0.000 1.968
0.000 4.162 1.968
3.605 2.081 1.968
0.000 0.000 0.000

PrGdIr2 | OQMD | PBE | relaxed; formation enthalpy at 0 K = -0.638 eV/atom; calculated total energy = -7.42 eV/atom
1.0
4.300 0.000 0.000
0.000 7.523 0.000
0.000 0.000 5.702
Pr Gd Ir
2 2 4
Cartesian
0.000 0.573 0.000
2.150 6.950 2.851
0.000 4.300 4.182
2.150 3.223 1.331
0.000 1.662 2.771
0.000 5.279 1.389
2.150 2.244 4.240
2.150 5.861 5.622

PrGdIr | OQMD | PBE | relaxed; formation enthalpy at 0 K = -0.563 eV/atom; distance to the lowest polymorph of the same formula = 0.00 kJ/mol of atoms; calculated total energy = -6.66 eV/atom
1.0
0.000 3.473 3.473
3.473 0.000 3.473
3.473 3.473 0.000
Pr Gd Ir
1 1 1
Cartesian
0.000 0.000 0.000
3.473 3.473 3.473
5.210 5.210 5.210

PrGdSn2Ir4 | OQMD | PBE | relaxed; calculated total energy = -7.09 eV/atom
1.0
4.549 0.000 0.000
-2.274 3.939 0.000
0.000 0.000 9.199
Pr Gd Sn Ir
1 1 2 4
Cartesian
0.000 0.000 0.000
0.000 2.626 4.600
2.274 1.313 2.342
2.274 1.313 6.857
0.000 0.000 3.224
0.000 0.000 5.975
0.000 2.626 1.507
0.000 2.626 7.692

Gd3Sn3Ir2Pt | OQMD | PBE | relaxed; calculated total energy = -6.43 eV/atom
1.0
7.494 0.000 0.000
-3.747 6.490 0.000
0.000 0.000 4.043
Gd Sn Ir Pt
3 3 2 1
Cartesian
-1.534 2.657 0.000
3.068 0.000 0.000
2.213 3.833 0.000
-2.769 4.796 2.022
0.978 1.694 2.022
5.538 0.000 2.022
0.000 4.327 2.022
3.747 2.163 2.022
0.000 0.000 0.000

GdTm2Zn3Ir2Pt | OQMD | PBE | relaxed; formation enthalpy at 0 K = -0.802 eV/atom; calculated total energy = -5.38 eV/atom
1.0
3.882 0.000 0.000
0.000 6.210 3.566
0.000 -6.210 3.566
Gd Tm Zn Ir Pt
1 2 3 2 1
Cartesian
0.000 0.000 0.000
0.000 -2.528 2.753
0.000 2.528 2.753
1.941 0.000 2.401
1.941 -1.575 5.102
1.941 1.575 5.102
1.941 -4.099 4.212
1.941 4.099 4.212
0.000 0.000 4.173

RbGdIr | OQMD | PBE | relaxed; calculated total energy = -4.42 eV/atom
1.0
0.000 3.539 3.539
3.539 0.000 3.539
3.539 3.539 0.000
Rb Gd Ir
1 1 1
Cartesian
0.000 0.000 0.000
3.539 3.539 3.539
5.309 5.309 5.309

Gd7Ir2S2 | OQMD | PBE | relaxed; calculated total energy = -6.37 eV/atom
1.0
-1.956 7.569 4.578
1.956 -7.569 4.578
1.956 7.569 -4.578
Gd Ir S
7 2 2
Cartesian
0.000 0.000 0.000
1.956 5.771 -0.822
1.956 2.720 1.112
0.000 1.798 3.756
0.000 5.487 2.283
0.000 9.652 2.283
0.000 4.849 5.690
1.956 -3.914 3.879
1.956 3.914 3.879
1.956 0.000 2.297
0.000 0.000 6.076

GdSi2Ir | OQMD | PBE | relaxed; calculated total energy = -7.00 eV/atom
1.0
5.549 0.000 0.000
0.000 4.067 0.000
-0.014 0.000 6.414
Gd Si Ir
2 4 2
Cartesian
0.700 1.017 1.598
4.835 3.050 4.816
1.896 3.050 3.437
1.896 3.050 6.179
3.638 1.017 0.235
3.639 1.017 2.977
2.047 1.017 4.807
3.487 3.050 1.607